# 1
8
Lattice="-3.0506 4.0348 0.9440 -3.6079 -5.7618 -1.0564 0.3057 -1.7218 8.3470" Properties=species:S:1:pos:R:3 comment="KTl2Pb, optimized geometry, DFT PBE" e_form_ev_per_atom=-0.117 sg="Cmcm, No. 63" total_energy_ev_per_atom=-2.501 pbc="T T T"
K -5.7966 -1.5845 2.0638
Tl -3.5137 -4.4131 7.5073
Pb -2.0819 -2.0048 1.8411
K -0.5562 -1.8643 6.1709
Pb -4.2709 -1.4439 6.3936
Tl -2.8391 0.9643 0.7273
Tl -2.7160 0.2712 4.0877
Tl -3.6367 -3.7199 4.1470


# 2
4
Lattice="-0.0203 4.1153 -2.9278 0.4455 -2.9258 -4.1155 -5.6959 -0.3100 -0.3962" Properties=species:S:1:pos:R:3 comment="K2TlPb, optimized geometry, DFT PBE" e_form_ev_per_atom=0.000 sg="Pmmm, No. 47" total_energy_ev_per_atom=-2.067 pbc="T T T"
K 0.0000 0.0000 0.0000
Tl -2.6252 -1.6179 -2.2558
K 0.2126 0.5948 -3.5216
Pb -2.8581 1.9027 -1.6620


# 3
6
Lattice="-14.5143 8.4692 2.2080 -6.1596 1.9352 -2.5001 3.8110 -5.6393 1.2693" Properties=species:S:1:pos:R:3 comment="KTlPb, optimized geometry, DFT PBE" e_form_ev_per_atom=-0.117 sg="C2/m, No. 12" total_energy_ev_per_atom=-2.508 pbc="T T T"
K -1.1743 -1.8521 -0.6154
Tl -5.8385 0.8474 0.1609
Pb 1.2699 -4.0718 1.4009
Tl -11.0245 3.9177 0.8164
K -7.2572 4.2346 1.1040
Pb -18.1329 8.8369 -0.4236


# 4
6
Lattice="-4.9776 -0.4832 -0.6759 0.7972 -1.6221 -4.7116 -1.6800 -9.3896 0.2459" Properties=species:S:1:pos:R:3 comment="KTlPb, optimized geometry, DFT PBE" e_form_ev_per_atom=-0.119 sg="I4/mmm, No. 139" total_energy_ev_per_atom=-2.509 pbc="T T T"
K -3.9059 -7.6836 -3.4206
Tl -1.7790 -7.3789 -0.4631
Pb 0.3986 -0.8111 -2.3558
Tl -4.0814 -4.1160 -4.6785
Pb -2.4888 -0.2416 -0.3379
K -1.9545 -3.8113 -1.7210


# 5
16
Lattice="-3.0037 -7.6064 0.3672 7.3583 -2.8032 2.1237 -1.7712 1.0634 7.5405" Properties=species:S:1:pos:R:3 comment="KTl4Pb3, optimized geometry, DFT PBE" e_form_ev_per_atom=-0.028 sg="Pmn2_1, No. 31" total_energy_ev_per_atom=-2.738 pbc="T T T"
Tl 3.6402 -5.5621 5.8097
Pb 1.8551 -6.8351 3.1466
Pb 4.0507 -1.1579 9.1514
Tl 2.4377 -0.9086 1.1181
K -0.2354 -4.0944 4.5114
Pb -3.0727 -5.4384 6.4048
Tl -2.4008 -5.6757 2.1064
Tl 3.0262 -5.1595 9.1276
Tl 1.8262 -2.7013 7.0465
Tl 1.5140 -0.3880 4.3466
Tl -0.8186 -1.6692 1.9130
Pb 0.6104 -4.6045 0.8626
Tl 0.4046 -6.3012 7.2202
K 4.9176 -1.6760 5.5087
Pb -1.3300 -1.0252 6.1918
Pb 3.1161 -3.6419 2.9924


# 6
12
Lattice="-0.5444 1.5516 6.5601 -4.5374 -3.1953 3.8653 5.5958 -8.0275 5.8492" Properties=species:S:1:pos:R:3 comment="K3Tl7Pb2, optimized geometry, DFT PBE" e_form_ev_per_atom=-0.078 sg="R-3m, No. 166" total_energy_ev_per_atom=-2.350 pbc="T T T"
Tl 1.4796 -7.7696 7.1471
Tl 1.2008 -6.9749 10.5072
K 0.0000 0.0000 0.0000
Tl -0.9657 -1.9015 9.1275
Tl -3.0109 -4.3329 7.7472
K -1.9758 -4.8305 11.4369
K 2.4898 -4.8406 4.8377
Tl 0.2570 -4.8356 8.1373
Tl 3.5249 -5.3382 8.5274
Tl -0.6868 -2.6963 5.7674
Pb 3.8247 -8.4963 9.2992
Pb -3.3107 -1.1749 6.9754


# 7
4
Lattice="5.8467 -0.0039 -0.0014 4.7200 3.4505 -0.0014 0.9401 0.3066 6.7442" Properties=species:S:1:pos:R:3 comment="KTlPb2, optimized geometry, DFT PBE" e_form_ev_per_atom=-0.074 sg="Cm, No. 8" total_energy_ev_per_atom=-2.794 pbc="T T T"
Tl 5.7322 1.8697 3.5927
Pb 8.6254 2.8134 5.0789
Pb 0.9685 0.3159 6.4661
K 2.8741 0.9374 1.7186


# 8
4
Lattice="4.1721 0.1015 0.0000 -0.1030 4.1721 0.0000 0.0000 0.0000 7.9802" Properties=species:S:1:pos:R:3 comment="KTlPb2, optimized geometry, DFT PBE" e_form_ev_per_atom=-0.097 sg="P4mm, No. 99" total_energy_ev_per_atom=-2.817 pbc="T T T"
Pb 0.0000 0.0000 0.3986
Tl 0.0000 0.0000 3.6678
Pb 2.0346 2.1368 1.9376
K 2.0346 2.1368 5.9664


# 9
4
Lattice="-0.8573 -6.2537 -1.8632 5.3578 1.3378 4.1413 -1.1715 -1.0516 3.0147" Properties=species:S:1:pos:R:3 comment="KTl2Pb, optimized geometry, DFT PBE" e_form_ev_per_atom=-0.032 sg="C2/m, No. 12" total_energy_ev_per_atom=-2.417 pbc="T T T"
Pb 2.2502 -2.4579 1.1391
Tl 0.0000 0.0000 0.0000
Tl -1.0144 -3.6526 0.5758
K 2.0931 0.1431 3.5780


# 10
8
Lattice="5.5048 0.0000 -1.5132 -0.4160 5.4891 -1.5132 -0.4183 -0.4511 9.2480" Properties=species:S:1:pos:R:3 comment="K2Tl5Pb, optimized geometry, DFT PBE" e_form_ev_per_atom=-0.086 sg="I4/mmm, No. 139" total_energy_ev_per_atom=-2.303 pbc="T T T"
Tl 1.4658 4.5500 5.3325
K 1.0538 1.1367 3.8336
Tl 3.2048 0.4880 0.8891
Pb 0.0000 0.0000 0.0000
Tl 2.5444 2.7445 -1.5132
Tl 0.2444 3.2325 0.8891
K 3.6168 3.9013 2.3880
Tl 4.4262 1.8054 5.3325


# 11
10
Lattice="-3.1676 1.7790 0.8019 -4.4214 -5.1527 -6.0334 2.9760 -3.5204 10.9348" Properties=species:S:1:pos:R:3 comment="KTl4Pb5, optimized geometry, DFT PBE" e_form_ev_per_atom=-0.030 sg="C2/m, No. 12" total_energy_ev_per_atom=-2.940 pbc="T T T"
Pb -3.7945 -1.6868 -2.6158
Tl -2.3938 -1.7115 2.9719
Pb -1.6374 -2.8117 -0.2300
Pb -2.9756 -4.0823 5.9332
Tl -0.9741 -1.7300 8.6206
Tl -3.6389 -5.1640 -2.9173
Tl -2.2192 -5.1825 2.7314
K -1.5838 0.8895 0.4010
Pb -0.0791 -2.5839 5.4197
Pb -4.5339 -4.3102 0.2835


# 12
6
Lattice="-12.1462 0.1065 -4.0890 -3.8776 -3.5075 -4.0281 3.3133 -1.1956 5.5818" Properties=species:S:1:pos:R:3 comment="KTlPb, optimized geometry, DFT PBE" e_form_ev_per_atom=-0.082 sg="Cm, No. 8" total_energy_ev_per_atom=-2.472 pbc="T T T"
Tl -5.8833 -3.0957 -3.5100
K -11.7433 -2.4311 -3.6266
Pb -3.0274 -2.7426 -1.4040
Pb -9.6637 -1.7465 -0.7990
Tl -1.4591 -1.2523 3.6767
K -4.8543 -1.4846 1.7404